# DyHo6Ni2

A relaxed structure of DyHo6Ni2 (PBE, Alexandria via LeMat-Bulk).

Results
**ΔE_f**: -12.6 kJ/mol of atoms
**DOS(E_F)**: 52.41 states/eV/cell
**Volume**: 26.1 Å³ per atom
**Magnetic moment**: 0.0 μB/f.u.
**Mass density**: 8.98 g/cm3

Structure (CIF):
```
data_DyHo6Ni2
_space_group_name_H-M_alt 'I m m m'
_space_group_IT_number 71
_space_group_name_Hall '-I 2 2'
_cell_length_a 9.058
_cell_length_b 10.096
_cell_length_c 10.265
_cell_angle_alpha 90.00
_cell_angle_beta 90.00
_cell_angle_gamma 90.00
loop_
_atom_site_label
_atom_site_type_symbol
_atom_site_fract_x
_atom_site_fract_y
_atom_site_fract_z
_atom_site_occupancy
Dy1 Dy 0.000 0.000 0.000 1
Dy2 Dy 0.000 0.000 0.500 1
Ho1 Ho 0.000 0.218 0.225 1
Ho2 Ho 0.195 0.500 0.188 1
Ho3 Ho 0.198 0.309 0.500 1
Ni1 Ni 0.000 0.364 0.000 1
Ni2 Ni 0.000 0.500 0.380 1
```

# Dy12HoNi6

A relaxed structure of Dy12HoNi6 (PBE, Alexandria via LeMat-Bulk).

Results
**ΔE_f**: -23.2 kJ/mol of atoms
**DOS(E_F)**: 47.48 states/eV/cell
**Volume**: 25.0 Å³ per atom
**Magnetic moment**: 0.0 μB/f.u.
**Mass density**: 8.63 g/cm3

Structure (CIF):
```
data_Dy12HoNi6
_space_group_name_H-M_alt 'I m -3'
_space_group_IT_number 204
_space_group_name_Hall '-I 2 2 3'
_cell_length_a 9.828
_cell_length_b 9.828
_cell_length_c 9.828
_cell_angle_alpha 90.00
_cell_angle_beta 90.00
_cell_angle_gamma 90.00
loop_
_atom_site_label
_atom_site_type_symbol
_atom_site_fract_x
_atom_site_fract_y
_atom_site_fract_z
_atom_site_occupancy
Dy1 Dy 0.000 0.184 0.311 1
Ho1 Ho 0.000 0.000 0.000 1
Ni1 Ni 0.000 0.376 0.500 1
```

# Dy2Ho2Ni15

A relaxed structure of Dy2Ho2Ni15 (PBE, Alexandria via LeMat-Bulk).

Results
**ΔE_f**: -23.7 kJ/mol of atoms
**DOS(E_F)**: 77.03 states/eV/cell
**Volume**: 13.9 Å³ per atom
**Magnetic moment**: 2.3 μB/f.u.
**Mass density**: 9.67 g/cm3

Structure (CIF):
```
data_Dy2Ho2Ni15
_space_group_name_H-M_alt 'R -3 m'
_space_group_IT_number 166
_space_group_name_Hall '-R 3 2"'
_cell_length_a 8.5103
_cell_length_b 8.5103
_cell_length_c 12.6061
_cell_angle_alpha 90.00
_cell_angle_beta 90.00
_cell_angle_gamma 120.00
loop_
_atom_site_label
_atom_site_type_symbol
_atom_site_fract_x
_atom_site_fract_y
_atom_site_fract_z
_atom_site_occupancy
Dy1 Dy 0.0000 0.0000 0.1389 1
Ho1 Ho 0.0000 0.0000 0.3890 1
Ni1 Ni 0.0000 0.3111 0.5000 1
Ni2 Ni 0.0000 0.5000 0.0000 1
Ni3 Ni 0.0112 0.5056 0.6569 1
```

# Dy2Ho3Ni2

A relaxed structure of Dy2Ho3Ni2 (PBE, Alexandria via LeMat-Bulk).

Results
**ΔE_f**: -25.3 kJ/mol of atoms
**DOS(E_F)**: 19.03 states/eV/cell
**Volume**: 24.7 Å³ per atom
**Magnetic moment**: 0.0 μB/f.u.
**Mass density**: 8.99 g/cm3

Structure (CIF):
```
data_Dy2Ho3Ni2
_space_group_name_H-M_alt 'C 1 2/m 1'
_space_group_IT_number 12
_cell_length_a 12.087
_cell_length_b 3.590
_cell_length_c 8.928
_cell_angle_alpha 90.00
_cell_angle_beta 116.62
_cell_angle_gamma 90.00
loop_
_space_group_symop_operation_xyz
'x,y,z'
'-x,-y,-z'
'-x,y,-z'
'x,-y,z'
'x+1/2,y+1/2,z'
'-x+1/2,-y+1/2,-z'
'-x+1/2,y+1/2,-z'
'x+1/2,-y+1/2,z'
loop_
_atom_site_label
_atom_site_type_symbol
_atom_site_fract_x
_atom_site_fract_y
_atom_site_fract_z
_atom_site_occupancy
Dy1 Dy 0.166 0.000 0.311 1
Ho1 Ho 0.000 0.500 0.500 1
Ho2 Ho 0.116 0.500 0.934 1
Ni1 Ni 0.173 0.000 0.739 1
```

# Dy3HoNi

A relaxed structure of Dy3HoNi (PBE, Alexandria via LeMat-Bulk).

Results
**ΔE_f**: -2.2 kJ/mol of atoms
**DOS(E_F)**: 9.81 states/eV/cell
**Volume**: 29.7 Å³ per atom
**Magnetic moment**: 0.0 μB/f.u.
**Mass density**: 7.94 g/cm3

Structure (CIF):
```
data_Dy3HoNi
_space_group_name_H-M_alt 'P m -3 m'
_space_group_IT_number 221
_space_group_name_Hall '-P 4 2 3'
_cell_length_a 5.298
_cell_length_b 5.298
_cell_length_c 5.298
_cell_angle_alpha 90.00
_cell_angle_beta 90.00
_cell_angle_gamma 90.00
loop_
_atom_site_label
_atom_site_type_symbol
_atom_site_fract_x
_atom_site_fract_y
_atom_site_fract_z
_atom_site_occupancy
Dy1 Dy 0.000 0.000 0.500 1
Ho1 Ho 0.500 0.500 0.500 1
Ni1 Ni 0.000 0.000 0.000 1
```

# DyHo7Ni2

A relaxed structure of DyHo7Ni2 (PBE, Alexandria via LeMat-Bulk).

Results
**ΔE_f**: 6.7 kJ/mol of atoms
**DOS(E_F)**: 32.59 states/eV/cell
**Volume**: 30.5 Å³ per atom
**Magnetic moment**: 0.0 μB/f.u.
**Mass density**: 7.81 g/cm3

Structure (CIF):
```
data_DyHo7Ni2
_space_group_name_H-M_alt 'C m m m'
_space_group_IT_number 65
_space_group_name_Hall '-C 2 2'
_cell_length_a 8.830
_cell_length_b 13.668
_cell_length_c 5.055
_cell_angle_alpha 90.00
_cell_angle_beta 90.00
_cell_angle_gamma 90.00
loop_
_atom_site_label
_atom_site_type_symbol
_atom_site_fract_x
_atom_site_fract_y
_atom_site_fract_z
_atom_site_occupancy
Dy1 Dy 0.000 0.000 0.000 1
Ho1 Ho 0.000 0.294 0.000 1
Ho2 Ho 0.000 0.500 0.500 1
Ho3 Ho 0.190 0.134 0.500 1
Ni1 Ni 0.000 0.298 0.500 1
```

# Dy4Ho3Ni2

A relaxed structure of Dy4Ho3Ni2 (PBE, Alexandria via LeMat-Bulk).

Results
**ΔE_f**: -16.5 kJ/mol of atoms
**DOS(E_F)**: 22.55 states/eV/cell
**Volume**: 27.0 Å³ per atom
**Magnetic moment**: 0.0 μB/f.u.
**Mass density**: 8.64 g/cm3

Structure (CIF):
```
data_Dy4Ho3Ni2
_space_group_name_H-M_alt 'C 1 2/m 1'
_space_group_IT_number 12
_cell_length_a 16.422
_cell_length_b 3.583
_cell_length_c 8.963
_cell_angle_alpha 90.00
_cell_angle_beta 113.04
_cell_angle_gamma 90.00
loop_
_space_group_symop_operation_xyz
'x,y,z'
'-x,-y,-z'
'-x,y,-z'
'x,-y,z'
'x+1/2,y+1/2,z'
'-x+1/2,-y+1/2,-z'
'-x+1/2,y+1/2,-z'
'x+1/2,-y+1/2,z'
loop_
_atom_site_label
_atom_site_type_symbol
_atom_site_fract_x
_atom_site_fract_y
_atom_site_fract_z
_atom_site_occupancy
Dy1 Dy 0.135 0.000 0.393 1
Dy2 Dy 0.230 0.500 0.153 1
Ho1 Ho 0.000 0.500 0.000 1
Ho2 Ho 0.070 0.500 0.688 1
Ni1 Ni 0.118 0.000 0.939 1
```

# Dy3Ho2Ni2

A relaxed structure of Dy3Ho2Ni2 (PBE, Alexandria via LeMat-Bulk).

Results
**ΔE_f**: -24.8 kJ/mol of atoms
**DOS(E_F)**: 19.03 states/eV/cell
**Volume**: 24.8 Å³ per atom
**Magnetic moment**: 0.0 μB/f.u.
**Mass density**: 8.93 g/cm3

Structure (CIF):
```
data_Dy3Ho2Ni2
_space_group_name_H-M_alt 'C 1 2/m 1'
_space_group_IT_number 12
_cell_length_a 12.082
_cell_length_b 3.601
_cell_length_c 8.924
_cell_angle_alpha 90.00
_cell_angle_beta 116.45
_cell_angle_gamma 90.00
loop_
_space_group_symop_operation_xyz
'x,y,z'
'-x,-y,-z'
'-x,y,-z'
'x,-y,z'
'x+1/2,y+1/2,z'
'-x+1/2,-y+1/2,-z'
'-x+1/2,y+1/2,-z'
'x+1/2,-y+1/2,z'
loop_
_atom_site_label
_atom_site_type_symbol
_atom_site_fract_x
_atom_site_fract_y
_atom_site_fract_z
_atom_site_occupancy
Dy1 Dy 0.000 0.000 0.000 1
Dy2 Dy 0.115 0.000 0.434 1
Ho1 Ho 0.167 0.500 0.811 1
Ni1 Ni 0.174 0.500 0.238 1
```

Look up the ΔE_f of the second one.
-23.2 kJ/mol of atoms